Record 1
Entry from the Alexandria database: a geometry-optimized ZrTeP structure (PBE-GGA).

Properties
formation energy (no corrections)	-55	kJ per mole of atoms

Cell: 3.6983 3.6983 6.2184 Å, 90.00 90.00 120.00°
Space group P3m1 (No. 156)
Inequivalent atoms, fractional coordinates:
Zr  0.0000  0.0000  0.0000 x1
Te  0.3333  0.6667  0.6654 x1
P  0.6667  0.3333  0.2335 x1

***

Record 2
Entry from the Alexandria database: a geometry-optimized RbGe12Pt3 structure (PBE-GGA).

Properties
ΔE_f	-0.064	eV per atom

Cell: 18.0648 18.0648 7.4140 Å, 90.00 90.00 120.00°
Space group R3c (No. 161, hexagonal axes)
Inequivalent atoms, fractional coordinates:
Rb  0.0000  0.0000  0.0000 x6
Ge  0.0002  0.2415  0.4983 x18
Ge  0.0541  0.2052  0.2097 x18
Ge  0.1411  0.3342  0.8312 x18
Ge  0.1823  0.4629  0.4534 x18
Pt  0.0003  0.2809  0.9978 x18

***

Record 3
Entry from the Alexandria database: a geometry-optimized CeNpPt6 structure (PBE-GGA).

Properties
ΔE_f	-0.796	eV per atom

Cell: 4.162 4.162 8.345 Å, 90.00 90.00 90.00°
Space group P4/mmm (No. 123)
Inequivalent atoms, fractional coordinates:
Ce  0.000  0.000  0.000 x1
Np  0.000  0.000  0.500 x1
Pt  0.000  0.500  0.250 x4
Pt  0.500  0.500  0.000 x1
Pt  0.500  0.500  0.500 x1

***

Record 4
Entry from the Alexandria database: a geometry-optimized LiZn2Cl structure (PBE-GGA).

Properties
formation energy (no corrections)	-27	kJ per mole of atoms

Cell: 3.3694 3.3694 23.8963 Å, 90.00 90.00 120.00°
Space group R-3m (No. 166, hexagonal axes)
Inequivalent atoms, fractional coordinates:
Li  0.0000  0.0000  0.0000 x3
Zn  0.0000  0.0000  0.2488 x6
Cl  0.0000  0.0000  0.5000 x3

***

Record 5
Entry from the Alexandria database: a geometry-optimized Pr2In8Pt structure (PBE-GGA).

Properties
ΔE_f	-0.475	eV per atom

Cell: 4.744 4.744 12.346 Å, 90.00 90.00 90.00°
Space group P4/mmm (No. 123)
Inequivalent atoms, fractional coordinates:
Pr  0.000  0.000  0.192 x2
In  0.000  0.500  0.000 x2
In  0.000  0.500  0.377 x4
In  0.500  0.500  0.191 x2
Pt  0.000  0.000  0.500 x1

***

Record 6
Entry from the Alexandria database: a geometry-optimized Y2Cu2H structure (PBE-GGA).

Properties
final energy	-47.06	eV for the cell shown

Cell: 7.429 7.429 3.696 Å, 90.00 90.00 90.00°
Space group P4/mbm (No. 127)
Inequivalent atoms, fractional coordinates:
Y  0.176  0.324  0.000 x4
Cu  0.117  0.617  0.500 x4
H  0.000  0.000  0.500 x2

***

Record 7
Entry from the Alexandria database: a geometry-optimized Tl2ZnIn2 structure (PBE-GGA).

Properties
ΔE_f	0.215	eV per atom

Cell: 4.196 4.196 17.027 Å, 90.00 90.00 90.00°
Space group I4/mmm (No. 139)
Inequivalent atoms, fractional coordinates:
Tl  0.000  0.000  0.093 x4
Zn  0.000  0.000  0.500 x2
In  0.000  0.500  0.250 x4

***

Record 8
Entry from the Alexandria database: a geometry-optimized AgMoIr2 structure (PBE-GGA).

Properties
ΔE_f	0.146	eV per atom

Cell: 3.997 3.997 7.684 Å, 90.00 90.00 90.00°
Space group I4/mmm (No. 139)
Inequivalent atoms, fractional coordinates:
Ag  0.000  0.000  0.000 x2
Mo  0.000  0.000  0.500 x2
Ir  0.000  0.500  0.250 x4